A.
# Rb2LiC2 | Alexandria | GGA-PBE | relaxed
data_Rb2LiC2
_cell_length_a 5.947
_cell_length_b 5.947
_cell_length_c 7.948
_cell_angle_alpha 90.00
_cell_angle_beta 90.00
_cell_angle_gamma 90.00
_space_group_name_H-M_alt 'I 4/m m m'
_space_group_IT_number 139
_space_group_name_Hall '-I 4 2'
loop_
_atom_site_label
_atom_site_type_symbol
_atom_site_fract_x
_atom_site_fract_y
_atom_site_fract_z
Rb1 Rb 0.000 0.500 0.250
Li1 Li 0.000 0.000 0.000
C1 C 0.000 0.000 0.420
# - Magnetic moment: 2.00 μB per cell
# - N(E_F): 0.00 states/eV/f.u.

=====

B.
# Rb2LiC2 | Alexandria | GGA-PBE | relaxed
data_Rb2LiC2
_cell_length_a 7.682
_cell_length_b 7.682
_cell_length_c 4.575
_cell_angle_alpha 90.00
_cell_angle_beta 90.00
_cell_angle_gamma 90.00
_space_group_name_H-M_alt 'P 4/m b m'
_space_group_IT_number 127
_space_group_name_Hall '-P 4 2ab'
loop_
_atom_site_label
_atom_site_type_symbol
_atom_site_fract_x
_atom_site_fract_y
_atom_site_fract_z
Rb1 Rb 0.201 0.299 0.000
Li1 Li 0.000 0.000 0.500
C1 C 0.059 0.559 0.500
# - Magnetic moment: 2.00 μB per cell
# - N(E_F): 0.00 states/eV/f.u.

=====

How far above the most stable structure does each one sit? In meV per atom: A 80; B 0.